one | # Nd3TmRu | Alexandria | GGA-PBE | optimized geometry
data_Nd3TmRu
_cell_length_a 9.5007
_cell_length_b 7.5484
_cell_length_c 8.7368
_cell_angle_alpha 90.00
_cell_angle_beta 90.00
_cell_angle_gamma 90.00
_symmetry_space_group_name_H-M 'I m a 2'
_symmetry_Int_Tables_number 46
_symmetry_space_group_name_Hall 'I 2 -2a'
loop_
_atom_site_label
_atom_site_fract_x
_atom_site_fract_y
_atom_site_fract_z
_atom_site_occupancy
Nd1 0.0399 0.2491 0.0000 1
Nd2 0.2500 0.5183 0.2489 1
Tm1 0.2500 0.5295 0.7512 1
Ru1 0.2500 0.7475 0.5000 1
# total moment	0.0	μB/f.u.
# DOS at the Fermi energy	23.9	states/eV/cell

---

two | # Nd3TmRu | Alexandria | GGA-PBE | optimized geometry
data_Nd3TmRu
_cell_length_a 5.5197
_cell_length_b 5.5197
_cell_length_c 5.5197
_cell_angle_alpha 90.00
_cell_angle_beta 90.00
_cell_angle_gamma 90.00
_symmetry_space_group_name_H-M 'P m -3 m'
_symmetry_Int_Tables_number 221
_symmetry_space_group_name_Hall '-P 4 2 3'
loop_
_atom_site_label
_atom_site_fract_x
_atom_site_fract_y
_atom_site_fract_z
_atom_site_occupancy
Nd1 0.0000 0.0000 0.5000 1
Tm1 0.5000 0.5000 0.5000 1
Ru1 0.0000 0.0000 0.0000 1
# total moment	0.0	μB/f.u.
# DOS at the Fermi energy	8.0	states/eV/cell

---

Q: Which of them is the most stable? A: one.

---

one | # NdURu | Alexandria | GGA-PBE | optimized geometry
data_NdURu
_cell_length_a 3.5132
_cell_length_b 3.5132
_cell_length_c 11.2676
_cell_angle_alpha 90.00
_cell_angle_beta 90.00
_cell_angle_gamma 90.00
_symmetry_space_group_name_H-M 'I 4 m m'
_symmetry_Int_Tables_number 107
_symmetry_space_group_name_Hall 'I 4 -2'
loop_
_atom_site_label
_atom_site_fract_x
_atom_site_fract_y
_atom_site_fract_z
_atom_site_occupancy
Nd1 0.0000 0.0000 0.0000 1
U1 0.0000 0.0000 0.7016 1
Ru1 0.0000 0.0000 0.2924 1
# total moment	0.6	μB/f.u.
# DOS at the Fermi energy	9.4	states/eV/cell

---

two | # NdURu | Alexandria | GGA-PBE | optimized geometry
data_NdURu
_cell_length_a 4.3566
_cell_length_b 4.3566
_cell_length_c 4.7608
_cell_angle_alpha 90.00
_cell_angle_beta 90.00
_cell_angle_gamma 120.00
_symmetry_space_group_name_H-M 'P -6 m 2'
_symmetry_Int_Tables_number 187
_symmetry_space_group_name_Hall 'P -6 2'
loop_
_atom_site_label
_atom_site_fract_x
_atom_site_fract_y
_atom_site_fract_z
_atom_site_occupancy
Nd1 0.0000 0.0000 0.0000 1
U1 0.3333 0.6667 0.5000 1
Ru1 0.6667 0.3333 0.5000 1
# total moment	2.3	μB/f.u.
# DOS at the Fermi energy	8.6	states/eV/cell

---

Q: Which of them is the most stable? A: one.

---

one | # NdURu3 | Alexandria | GGA-PBE | optimized geometry
data_NdURu3
_cell_length_a 6.1234
_cell_length_b 11.6912
_cell_length_c 5.5246
_cell_angle_alpha 90.00
_cell_angle_beta 90.00
_cell_angle_gamma 90.00
_symmetry_space_group_name_H-M 'C m c m'
_symmetry_Int_Tables_number 63
_symmetry_space_group_name_Hall '-C 2c 2'
loop_
_atom_site_label
_atom_site_fract_x
_atom_site_fract_y
_atom_site_fract_z
_atom_site_occupancy
Nd1 0.0000 0.0875 0.2500 1
U1 0.0000 0.3039 0.7500 1
Ru1 0.0000 0.5000 0.0000 1
Ru2 0.2280 0.3367 0.2500 1
# total moment	0.0	μB/f.u.
# DOS at the Fermi energy	19.0	states/eV/cell

---

two | # NdURu3 | Alexandria | GGA-PBE | optimized geometry
data_NdURu3
_cell_length_a 5.9817
_cell_length_b 6.2653
_cell_length_c 6.3053
_cell_angle_alpha 73.26
_cell_angle_beta 84.02
_cell_angle_gamma 64.62
_symmetry_space_group_name_H-M 'P 1'
_symmetry_Int_Tables_number 1
_symmetry_space_group_name_Hall 'P 1'
loop_
_atom_site_label
_atom_site_fract_x
_atom_site_fract_y
_atom_site_fract_z
_atom_site_occupancy
Nd1 0.0000 0.0000 0.0000 1
Nd2 0.4482 0.9621 0.3677 1
U1 0.1086 0.6199 0.5841 1
U2 0.6597 0.6488 0.9365 1
Ru1 0.2316 0.4545 0.9633 1
Ru2 0.4257 0.4558 0.3225 1
Ru3 0.4970 0.0694 0.8156 1
Ru4 0.6599 0.4452 0.6815 1
Ru5 0.8798 0.0383 0.4963 1
Ru6 0.9178 0.4601 0.2795 1
# total moment	0.0	μB/f.u.
# DOS at the Fermi energy	7.9	states/eV/cell

---

Q: Which of them is the most stable? A: two.

---

one | # NdYRu | Alexandria | GGA-PBE | optimized geometry
data_NdYRu
_cell_length_a 4.7730
_cell_length_b 4.7730
_cell_length_c 3.7102
_cell_angle_alpha 90.00
_cell_angle_beta 90.00
_cell_angle_gamma 120.00
_symmetry_space_group_name_H-M 'P 3 m 1'
_symmetry_Int_Tables_number 156
_symmetry_space_group_name_Hall 'P 3 -2"'
loop_
_atom_site_label
_atom_site_fract_x
_atom_site_fract_y
_atom_site_fract_z
_atom_site_occupancy
Nd1 0.0000 0.0000 0.0000 1
Y1 0.3333 0.6667 0.5487 1
Ru1 0.6667 0.3333 0.2947 1
# total moment	0.0	μB/f.u.
# DOS at the Fermi energy	2.1	states/eV/cell

---

two | # NdYRu | Alexandria | GGA-PBE | optimized geometry
data_NdYRu
_cell_length_a 6.8744
_cell_length_b 6.8744
_cell_length_c 6.8744
_cell_angle_alpha 90.00
_cell_angle_beta 90.00
_cell_angle_gamma 90.00
_symmetry_space_group_name_H-M 'F -4 3 m'
_symmetry_Int_Tables_number 216
_symmetry_space_group_name_Hall 'F -4 2 3'
loop_
_atom_site_label
_atom_site_fract_x
_atom_site_fract_y
_atom_site_fract_z
_atom_site_occupancy
Nd1 0.0000 0.0000 0.0000 1
Y1 0.0000 0.0000 0.5000 1
Ru1 0.2500 0.2500 0.2500 1
# total moment	0.0	μB/f.u.
# DOS at the Fermi energy	7.6	states/eV/cell

---

three | # NdYRu | Alexandria | GGA-PBE | optimized geometry
data_NdYRu
_cell_length_a 3.5627
_cell_length_b 16.1379
_cell_length_c 5.3429
_cell_angle_alpha 90.00
_cell_angle_beta 90.00
_cell_angle_gamma 90.00
_symmetry_space_group_name_H-M 'C m c m'
_symmetry_Int_Tables_number 63
_symmetry_space_group_name_Hall '-C 2c 2'
loop_
_atom_site_label
_atom_site_fract_x
_atom_site_fract_y
_atom_site_fract_z
_atom_site_occupancy
Nd1 0.0000 0.0715 0.2500 1
Y1 0.0000 0.2097 0.7500 1
Ru1 0.0000 0.4244 0.2500 1
# total moment	0.0	μB/f.u.
# DOS at the Fermi energy	11.2	states/eV/cell

---

four | # NdYRu | Alexandria | GGA-PBE | optimized geometry
data_NdYRu
_cell_length_a 6.5154
_cell_length_b 7.3171
_cell_length_c 6.6553
_cell_angle_alpha 90.00
_cell_angle_beta 90.00
_cell_angle_gamma 90.00
_symmetry_space_group_name_H-M 'P b c m'
_symmetry_Int_Tables_number 57
_symmetry_space_group_name_Hall '-P 2c 2b'
loop_
_atom_site_label
_atom_site_fract_x
_atom_site_fract_y
_atom_site_fract_z
_atom_site_occupancy
Nd1 0.1067 0.1092 0.2500 1
Y1 0.4304 0.7500 0.0000 1
Ru1 0.2854 0.0432 0.7500 1
# total moment	0.0	μB/f.u.
# DOS at the Fermi energy	6.4	states/eV/cell

---

Q: Which of them is the most stable? A: four.